Pa2AlIr: optimized geometry, PBE-GGA.

Values from the calculation:
VASP energy	-7.783	eV/atom
mass density	12919	kg/m3
space-group type	No. 166
energy of formation from the pure elements	0.116	eV per atom
polymorph energy (0 for the lowest one)	0.582	eV per atom

Cell: 3.051 3.051 11.004 Å, 82.03 82.03 60.00°
Positions (direct):
Ir  0.500  0.500  0.500
Al  0.000  0.000  0.000
Pa  0.907  0.907  0.280
Pa  0.093  0.093  0.720

---

CaPr2TaO6: optimized geometry, PBE-GGA.

Values from the calculation:
VASP energy	-8.216	eV/atom
mass density	6221	kg/m3
raw formation energy	-2.900	eV/atom
space-group type	No. 99

Cell: 5.363 5.460 5.460 Å, 90.00 90.00 90.00°
Last column: magnetic moment on the atom in μB.
Positions (direct):
O  0.736  0.767  0.767  0.01
Pr  0.002  0.000  0.500  0.10
Pr  0.002  0.500  0.000  0.10
Ta  0.585  0.000  0.000  0.15
O  0.736  0.233  0.233  0.01
O  0.134  0.500  0.500  0.01
O  0.736  0.233  0.767  0.01
Ca  0.550  0.500  0.500  0.02
O  0.736  0.767  0.233  0.01
O  0.228  0.000  0.000  0.01

---

CsVS3: optimized geometry, PBE-GGA.

Values from the calculation:
VASP energy	-5.264	eV/atom
mass density	3297	kg/m3
raw formation energy	-0.793	eV/atom
space-group type	No. 99
polymorph energy (0 for the lowest one)	0.192	eV per atom

Cell: 4.488 4.488 7.002 Å, 90.00 90.00 90.00°
Last column: magnetic moment on the atom in μB.
Positions (direct):
V  0.000  0.000  0.177  0.22
S  0.000  0.500  0.270  -0.02
S  0.000  0.000  0.879  -0.01
Cs  0.500  0.500  0.668  0.00
S  0.500  0.000  0.270  -0.02

---

LaNiP2Ir: optimized geometry, PBE-GGA.

Values from the calculation:
VASP energy	-6.998	eV/atom
mass density	8706	kg/m3
space-group type	No. 119
energy of formation from the pure elements	-0.920	eV per atom

Cell: 3.912 3.912 6.273 Å, 108.17 108.17 90.00°
Positions (direct):
P  0.364  0.364  0.727
La  0.000  0.000  0.000
P  0.636  0.636  0.273
Ir  0.250  0.750  0.500
Ni  0.750  0.250  0.500

---

La3Cd2: optimized geometry, PBE-GGA.

Values from the calculation:
VASP energy	-3.523	eV/atom
mass density	6844	kg/m3
space-group type	No. 43
energy of formation from the pure elements	-0.201	eV per atom
polymorph energy (0 for the lowest one)	0.060	eV per atom

Cell: 6.684 6.684 8.873 Å, 79.99 79.99 122.59°
Positions (direct):
La  0.564  0.472  0.804
La  0.222  0.814  0.304
La  0.117  0.525  0.696
La  0.275  0.367  0.196
Cd  0.650  0.694  0.406
La  0.661  0.161  0.500
Cd  0.806  0.350  0.094
La  0.911  0.911  0.000
Cd  0.444  0.900  0.906
Cd  0.100  0.056  0.594

---

YThIr2: optimized geometry, PBE-GGA.

Values from the calculation:
VASP energy	-8.683	eV/atom
mass density	12595	kg/m3
space-group type	No. 12
energy of formation from the pure elements	-0.781	eV per atom
polymorph energy (0 for the lowest one)	0.117	eV per atom

Cell: 5.687 5.711 11.684 Å, 78.59 90.00 90.00°
Positions (direct):
Ir  0.750  0.052  0.348
Ir  0.750  0.422  0.647
Ir  0.250  0.948  0.652
Th  0.250  0.034  0.892
Ir  0.250  0.552  0.848
Ir  0.750  0.078  0.853
Th  0.250  0.466  0.608
Ir  0.750  0.448  0.152
Y  0.750  0.558  0.896
Y  0.250  0.442  0.104
Y  0.250  0.058  0.396
Y  0.750  0.942  0.604
Ir  0.250  0.578  0.353
Th  0.750  0.966  0.108
Th  0.750  0.534  0.392
Ir  0.250  0.922  0.147

---

YGa2Ru2: optimized geometry, PBE-GGA.

Values from the calculation:
VASP energy	-6.635	eV/atom
mass density	8621	kg/m3
space-group type	No. 127
energy of formation from the pure elements	-0.421	eV per atom

Cell: 7.333 7.333 3.084 Å, 90.00 90.00 90.00°
Positions (direct):
Ru  0.668  0.832  0.500
Ru  0.168  0.668  0.500
Ru  0.832  0.332  0.500
Ga  0.126  0.374  0.000
Y  0.500  0.500  0.000
Ga  0.374  0.874  0.000
Ru  0.332  0.168  0.500
Ga  0.626  0.126  0.000
Y  0.000  0.000  0.000
Ga  0.874  0.626  0.000

---

Zn3Rh3O8: optimized geometry, PBE-GGA.

Values from the calculation:
VASP energy	-5.691	eV/atom
mass density	6552	kg/m3
raw formation energy	-1.010	eV/atom
space-group type	No. 166

Cell: 6.042 6.042 6.042 Å, 61.26 61.26 61.26°
Positions (direct):
O  0.246  0.780  0.246
O  0.760  0.760  0.760
Rh  0.000  0.000  0.500
Zn  0.382  0.382  0.382
Zn  0.000  0.000  0.000
Rh  0.500  0.000  0.000
O  0.754  0.220  0.754
O  0.220  0.754  0.754
O  0.246  0.246  0.780
Zn  0.618  0.618  0.618
Rh  0.000  0.500  0.000
O  0.780  0.246  0.246
O  0.240  0.240  0.240
O  0.754  0.754  0.220

---

La4OsPdCl2: optimized geometry, PBE-GGA.

Values from the calculation:
VASP energy	-6.091	eV/atom
mass density	6553	kg/m3
raw formation energy	-1.113	eV/atom
space-group type	No. 10

Cell: 4.207 7.256 8.028 Å, 107.31 90.00 90.00°
Positions (direct):
Cl  0.500  0.000  0.500
La  0.000  0.724  0.208
Os  0.500  0.500  0.000
La  0.500  0.751  0.794
La  0.500  0.249  0.206
Cl  0.000  0.500  0.500
La  0.000  0.276  0.792
Pd  0.000  0.000  0.000

---

SrY2Pt2: optimized geometry, PBE-GGA.

Values from the calculation:
VASP energy	-6.269	eV/atom
mass density	8007	kg/m3
space-group type	No. 139
energy of formation from the pure elements	-0.931	eV per atom
polymorph energy (0 for the lowest one)	0.000	eV per atom

Cell: 4.759 4.759 6.882 Å, 69.77 69.77 90.00°
Positions (direct):
Y  0.250  0.750  0.500
Pt  0.386  0.386  0.227
Pt  0.614  0.614  0.773
Sr  0.000  0.000  0.000
Y  0.750  0.250  0.500

---

BaTe2Br: optimized geometry, PBE-GGA.

Values from the calculation:
VASP energy	-3.567	eV/atom
mass density	4739	kg/m3
raw formation energy	-1.097	eV/atom
space-group type	No. 8
polymorph energy (0 for the lowest one)	0.135	eV per atom

Cell: 5.452 5.452 7.424 Å, 76.33 76.33 51.00°
Positions (direct):
Te  0.014  0.014  0.886
Ba  0.504  0.504  0.495
Te  0.755  0.755  0.804
Br  0.227  0.227  0.315

---

LiCaIn3: optimized geometry, PBE-GGA.

Values from the calculation:
VASP energy	-2.551	eV/atom
mass density	5008	kg/m3
space-group type	No. 221
energy of formation from the pure elements	-0.125	eV per atom
polymorph energy (0 for the lowest one)	0.174	eV per atom

Cell: 5.063 5.063 5.063 Å, 90.00 90.00 90.00°
Positions (direct):
In  0.000  0.000  0.500
Li  0.000  0.000  0.000
In  0.000  0.500  0.000
Ca  0.500  0.500  0.500
In  0.500  0.000  0.000

---

MgZn2W: optimized geometry, PBE-GGA.

Values from the calculation:
VASP energy	-3.943	eV/atom
mass density	8703	kg/m3
space-group type	No. 25
energy of formation from the pure elements	0.331	eV per atom

Cell: 2.817 4.140 5.547 Å, 90.00 90.00 90.00°
Positions (direct):
Zn  0.500  0.500  0.258
Zn  0.000  0.000  0.979
W  0.500  0.500  0.765
Mg  0.000  0.000  0.498

---

In2RuPt: optimized geometry, PBE-GGA.

Values from the calculation:
VASP energy	-5.084	eV/atom
mass density	11504	kg/m3
space-group type	No. 99
energy of formation from the pure elements	0.115	eV per atom

Cell: 3.031 3.031 8.261 Å, 90.00 90.00 89.97°
Last column: magnetic moment on the atom in μB.
Positions (direct):
In  0.500  0.500  0.287  0.01
In  0.000  0.000  0.957  -0.01
Pt  0.000  0.000  0.525  0.23
Ru  0.500  0.500  0.731  0.90

---

Pm3Nd6Pu: optimized geometry, PBE-GGA.

Values from the calculation:
VASP energy	-5.504	eV/atom
mass density	7417	kg/m3
space-group type	No. 14
energy of formation from the pure elements	0.215	eV per atom

Cell: 6.307 9.436 11.623 Å, 90.00 89.01 90.00°
Last column: magnetic moment on the atom in μB.
Positions (direct):
Nd  0.847  0.019  0.758  0.07
Pm  0.000  0.000  0.500  -0.03
Nd  0.481  0.841  0.935  0.03
Nd  0.519  0.159  0.065  0.03
Nd  0.981  0.659  0.435  0.03
Pu  0.500  0.500  0.500  5.59
Nd  0.153  0.981  0.242  0.07
Nd  0.653  0.519  0.742  0.07
Nd  0.509  0.166  0.433  0.04
Nd  0.009  0.334  0.933  0.04
Pm  0.369  0.166  0.749  -0.04
Pm  0.500  0.500  0.000  -0.03
Nd  0.991  0.666  0.067  0.04
Pm  0.869  0.334  0.249  -0.04
Nd  0.019  0.341  0.565  0.03
Pu  0.000  0.000  0.000  5.59
Nd  0.491  0.834  0.567  0.04
Nd  0.347  0.481  0.258  0.07
Pm  0.131  0.666  0.751  -0.04
Pm  0.631  0.834  0.251  -0.04

---

YIrRu2: optimized geometry, PBE-GGA.

Values from the calculation:
VASP energy	-8.274	eV/atom
mass density	11957	kg/m3
space-group type	No. 225
energy of formation from the pure elements	0.195	eV per atom
polymorph energy (0 for the lowest one)	0.208	eV per atom

Cell: 4.562 4.562 4.562 Å, 60.00 60.00 60.00°
Positions (direct):
Ir  0.500  0.500  0.500
Ru  0.250  0.250  0.250
Ru  0.750  0.750  0.750
Y  0.000  0.000  0.000